# SmZrGa | Alexandria via LeMat-Bulk | GGA-PBE | relaxed
# Total magnetic moment (μB/cell): 1.52
# ΔE to the lowest computed polymorph (eV/atom): 0.055
# Mass density (g cm⁻³): 7.1
data_SmZrGa
_cell_length_a 4.390
_cell_length_b 7.587
_cell_length_c 7.587
_cell_angle_alpha 120.00
_cell_angle_beta 90.00
_cell_angle_gamma 90.00
_space_group_name_H-M_alt 'P 1'
_space_group_IT_number 1
loop_
_space_group_symop_operation_xyz
'x,y,z'
loop_
_atom_site_label
_atom_site_type_symbol
_atom_site_fract_x
_atom_site_fract_y
_atom_site_fract_z
_atom_site_occupancy
Sm1 Sm 0.000 0.000 0.415 1
Sm2 Sm 0.000 0.585 0.585 1
Sm3 Sm 0.000 0.415 0.000 1
Ga1 Ga 0.500 0.333 0.667 1
Ga2 Ga 0.000 0.000 0.000 1
Ga3 Ga 0.500 0.667 0.333 1
Zr1 Zr 0.500 0.240 0.240 1
Zr2 Zr 0.500 0.760 0.000 1
Zr3 Zr 0.500 0.000 0.760 1



# NdEr3Tm12 | Alexandria via LeMat-Bulk | GGA-PBE | relaxed
# Total magnetic moment (μB/cell): 0.00
# Mass density (g cm⁻³): 9.1
# E (eV per cell): -71.69
data_NdEr3Tm12
_cell_length_a 4.952
_cell_length_b 4.952
_cell_length_c 19.815
_cell_angle_alpha 90.00
_cell_angle_beta 90.00
_cell_angle_gamma 90.00
_space_group_name_H-M_alt 'P 1'
_space_group_IT_number 1
loop_
_space_group_symop_operation_xyz
'x,y,z'
loop_
_atom_site_label
_atom_site_type_symbol
_atom_site_fract_x
_atom_site_fract_y
_atom_site_fract_z
_atom_site_occupancy
Tm1 Tm 0.500 0.000 0.873 1
Tm2 Tm 0.500 0.500 0.500 1
Tm3 Tm 0.500 0.500 0.000 1
Tm4 Tm 0.000 0.500 0.873 1
Tm5 Tm 0.500 0.500 0.252 1
Tm6 Tm 0.500 0.000 0.376 1
Tm7 Tm 0.500 0.000 0.127 1
Tm8 Tm 0.500 0.000 0.624 1
Tm9 Tm 0.000 0.500 0.127 1
Tm10 Tm 0.000 0.500 0.624 1
Tm11 Tm 0.500 0.500 0.748 1
Tm12 Tm 0.000 0.500 0.376 1
Er1 Er 0.000 0.000 0.251 1
Er2 Er 0.000 0.000 0.749 1
Er3 Er 0.000 0.000 0.500 1
Nd1 Nd 0.000 0.000 0.000 1



# Pt13Au3 | Alexandria via LeMat-Bulk | GGA-PBE | relaxed
# Total magnetic moment (μB/cell): 0.00
# Mass density (g cm⁻³): 20.2
# E (eV per cell): -87.65
data_Pt13Au3
_cell_length_a 5.748
_cell_length_b 5.748
_cell_length_c 7.797
_cell_angle_alpha 90.00
_cell_angle_beta 90.00
_cell_angle_gamma 90.09
_space_group_name_H-M_alt 'P 1'
_space_group_IT_number 1
loop_
_space_group_symop_operation_xyz
'x,y,z'
loop_
_atom_site_label
_atom_site_type_symbol
_atom_site_fract_x
_atom_site_fract_y
_atom_site_fract_z
_atom_site_occupancy
Pt1 Pt 0.746 0.254 0.500 1
Pt2 Pt 0.256 0.256 0.500 1
Pt3 Pt 0.003 0.504 0.252 1
Pt4 Pt 0.252 0.748 0.500 1
Pt5 Pt 0.256 0.256 0.000 1
Pt6 Pt 0.500 0.500 0.750 1
Pt7 Pt 0.500 0.500 0.250 1
Pt8 Pt 0.744 0.744 0.000 1
Pt9 Pt 0.496 0.997 0.252 1
Pt10 Pt 0.003 0.504 0.748 1
Pt11 Pt 0.252 0.748 0.000 1
Pt12 Pt 0.496 0.997 0.748 1
Pt13 Pt 0.744 0.744 0.500 1
Au1 Au 0.999 0.001 0.251 1
Au2 Au 0.752 0.248 0.000 1
Au3 Au 0.999 0.001 0.749 1



# Li7Mg2Cu2 | Alexandria via LeMat-Bulk | GGA-PBE | relaxed
# Total magnetic moment (μB/cell): 0.00
# Mass density (g cm⁻³): 1.9
# E (eV per cell): -24.56
data_Li7Mg2Cu2
_cell_length_a 4.469
_cell_length_b 7.027
_cell_length_c 7.027
_cell_angle_alpha 76.10
_cell_angle_beta 72.03
_cell_angle_gamma 72.03
_space_group_name_H-M_alt 'P 1'
_space_group_IT_number 1
loop_
_space_group_symop_operation_xyz
'x,y,z'
loop_
_atom_site_label
_atom_site_type_symbol
_atom_site_fract_x
_atom_site_fract_y
_atom_site_fract_z
_atom_site_occupancy
Mg1 Mg 0.155 0.352 0.352 1
Mg2 Mg 0.845 0.648 0.648 1
Li1 Li 0.500 0.000 0.000 1
Li2 Li 0.150 0.850 0.850 1
Li3 Li 0.350 0.883 0.415 1
Li4 Li 0.650 0.585 0.117 1
Li5 Li 0.650 0.117 0.585 1
Li6 Li 0.850 0.150 0.150 1
Li7 Li 0.350 0.415 0.883 1
Cu1 Cu 0.000 0.238 0.762 1
Cu2 Cu 0.000 0.762 0.238 1



> The lowest mass density belongs to which entry?

Li7Mg2Cu2



> total magnetic moment of number 1 (SmZrGa)?

1.52 μB/cell